A relaxed structure of LiSb2Br. Source: the Alexandria database, functional GGA-PBE.

Unit cell a=14.230 b=14.230 c=14.230 alpha=163.08 beta=163.08 gamma=24.01
Sites, in units of the cell vectors:
Li  0.000  0.000  0.000
Li  0.750  0.250  0.500
Sb  0.100  0.625  0.975
Sb  0.375  0.350  0.475
Sb  0.650  0.125  0.025
Sb  0.875  0.900  0.525
Br  0.250  0.750  0.500
Br  0.500  0.500  0.000

**Energy above the lowest structure with this stoichiometry**: 7.32 kcal/mol of atoms
**Formation energy from raw total energies**: -0.37 eV/atom


A relaxed structure of Ca2BiP. Source: the Alexandria database, functional GGA-PBE.

Unit cell a=3.541 b=3.541 c=8.443 alpha=90.00 beta=90.00 gamma=90.00
Sites, in units of the cell vectors:
Ca  0.000  0.000  0.196
Ca  0.000  0.000  0.804
Bi  0.500  0.500  0.500
P  0.500  0.500  0.000

**Energy of formation from the pure elements**: -0.822 eV/atom


A relaxed structure of PmScGaOs. Source: the Alexandria database, functional GGA-PBE.

Unit cell a=4.862 b=4.862 c=4.862 alpha=60.00 beta=60.00 gamma=60.00
Sites, in units of the cell vectors:
Pm  0.000  0.000  0.000
Sc  0.500  0.500  0.500
Ga  0.250  0.250  0.250
Os  0.750  0.750  0.750

**Energy of formation from the pure elements**: -0.297 eV/atom


A relaxed structure of TaMoOs4. Source: the Alexandria database, functional GGA-PBE.

Unit cell a=4.859 b=4.859 c=9.361 alpha=105.39 beta=105.39 gamma=60.16
Sites, in units of the cell vectors:
Ta  0.082  0.918  0.750
Ta  0.918  0.082  0.250
Mo  0.000  0.500  0.500
Mo  0.500  0.000  0.000
Os  0.177  0.641  0.997
Os  0.245  0.420  0.251
Os  0.359  0.823  0.503
Os  0.420  0.245  0.751
Os  0.580  0.755  0.249
Os  0.641  0.177  0.497
Os  0.755  0.580  0.749
Os  0.823  0.359  0.003

**Energy above the lowest structure with this stoichiometry**: 0.00 kcal/mol of atoms
**Energy of formation from the pure elements**: -0.023 eV/atom


no.,VASP energy (eV per formula unit)
1,-13.3
2,-16.6
3,-26.5
4,-67.7